# 1
The following is a DFT calculation (PBE) of a relaxed structure of Au3ClO.

Uncorrected formation energy: 0.46 eV/atom
Energy above the most stable polymorph in this dataset: 0 meV/atom

a = 4.5656 Å, b = 4.5656 Å, c = 4.5656 Å
α = 90.00°, β = 90.00°, γ = 90.00°
Atoms (fractional coordinates):
Au  0.0000  0.0000  0.5000
Au  0.0000  0.5000  0.0000
Au  0.5000  0.0000  0.0000
Cl  0.5000  0.5000  0.5000
O  0.0000  0.0000  0.0000

***

# 2
The following is a DFT calculation (PBE) of a relaxed structure of PrDy6Tm12.

Energy above the most stable polymorph in this dataset: 280 meV/atom
DFT formation energy: 0.444 eV per atom

a = 9.1625 Å, b = 9.1625 Å, c = 9.1625 Å
α = 106.76°, β = 106.76°, γ = 106.76°
Atoms (fractional coordinates):
Pr  0.0000  0.0000  0.0000
Dy  0.2858  0.6891  0.6891
Dy  0.3109  0.3109  0.7142
Dy  0.3109  0.7142  0.3109
Dy  0.6891  0.2858  0.6891
Dy  0.6891  0.6891  0.2858
Dy  0.7142  0.3109  0.3109
Tm  0.1122  0.5000  0.8878
Tm  0.1122  0.8878  0.5000
Tm  0.1138  0.3460  0.3460
Tm  0.3460  0.1138  0.3460
Tm  0.3460  0.3460  0.1138
Tm  0.5000  0.1122  0.8878
Tm  0.5000  0.8878  0.1122
Tm  0.6540  0.6540  0.8862
Tm  0.6540  0.8862  0.6540
Tm  0.8862  0.6540  0.6540
Tm  0.8878  0.1122  0.5000
Tm  0.8878  0.5000  0.1122

***

# 3
The following is a DFT calculation (PBE) of a relaxed structure of KCuPt3.

Energy above the most stable polymorph in this dataset: 0 meV/atom
DFT formation energy: 0.623 eV per atom

a = 4.7376 Å, b = 4.7376 Å, c = 4.7376 Å
α = 90.00°, β = 90.00°, γ = 90.00°
Atoms (fractional coordinates):
K  0.0000  0.0000  0.0000
Cu  0.5000  0.5000  0.5000
Pt  0.0000  0.5000  0.5000
Pt  0.5000  0.0000  0.5000
Pt  0.5000  0.5000  0.0000

***

# 4
The following is a DFT calculation (PBE) of a relaxed structure of BaTl5Ag.

DFT formation energy: -0.117 eV per atom

a = 5.1391 Å, b = 5.1391 Å, c = 8.2511 Å
α = 90.00°, β = 90.00°, γ = 90.00°
Atoms (fractional coordinates):
Ba  0.0000  0.0000  0.0000
Tl  0.0000  0.5000  0.3043
Tl  0.0000  0.5000  0.6957
Tl  0.5000  0.0000  0.3043
Tl  0.5000  0.0000  0.6957
Tl  0.5000  0.5000  0.0000
Ag  0.0000  0.0000  0.5000

***

# 5
The following is a DFT calculation (PBE) of a relaxed structure of Na3In9Hg2.

DFT formation energy: -0.077 eV per atom

a = 9.0247 Å, b = 9.0247 Å, c = 9.0247 Å
α = 146.45°, β = 103.56°, γ = 86.11°
Atoms (fractional coordinates):
Na  0.0000  0.0000  0.0000
Na  0.2841  0.2841  0.0000
Na  0.7159  0.7159  0.0000
In  0.0011  0.6330  0.3681
In  0.1294  0.8532  0.2763
In  0.2649  0.6330  0.6319
In  0.4231  0.1468  0.2763
In  0.5000  0.0000  0.5000
In  0.5769  0.8532  0.7237
In  0.7351  0.3670  0.3681
In  0.8706  0.1468  0.7237
In  0.9989  0.3670  0.6319
Hg  0.3537  0.5000  0.8537
Hg  0.6463  0.5000  0.1463

***

# 6
The following is a DFT calculation (PBE) of a relaxed structure of Pr8Cd2Hg.

Energy above the most stable polymorph in this dataset: 32 meV/atom
DFT formation energy: -0.150 eV per atom

a = 9.7654 Å, b = 9.7654 Å, c = 7.4342 Å
α = 106.23°, β = 106.23°, γ = 32.05°
Atoms (fractional coordinates):
Pr  0.0209  0.0209  0.2613
Pr  0.1960  0.1960  0.7933
Pr  0.3357  0.3357  0.5440
Pr  0.4091  0.4091  0.0429
Pr  0.5909  0.5909  0.9571
Pr  0.6643  0.6643  0.4560
Pr  0.8040  0.8040  0.2067
Pr  0.9791  0.9791  0.7387
Cd  0.1855  0.1855  0.2089
Cd  0.8145  0.8145  0.7911
Hg  0.5000  0.5000  0.5000

***

Calculated energy (eV per atom), listed in the same order as above: -2.868 -4.085 -4.040 -2.489 -2.163 -3.820